Material: Ba2NpAlS6
Method: DFT, PBE
State: optimized geometry

abc: 9.9468 9.9468 9.9468
angles: 90.00 90.00 90.00
Last column: nearest neighbours and their distance in Å.
Space group Fm-3m (No. 225)
Symmetry-distinct sites (fractional):
Ba: 0.2500 0.2500 0.2500  12 S 3.52
Np: 0.0000 0.0000 0.0000  6 S 2.57
Al: 0.0000 0.0000 0.5000  6 S 2.40
S: 0.0000 0.0000 0.2586  1 Al 2.40, 1 Np 2.57

Output
Uncorrected formation energy (meV per atom): -1504
Size of the total moment (μB per formula unit): 2.00